Record 1
# YAsBr2 PBE relaxed
# crystal system = tetragonal
# volume = 116.57 Å³/f.u.
# E_form (uncorrected) = -0.6504 eV per atom
data_YAsBr2
_chemical_formula_sum 'Y1 As1 Br2'
_cell_length_a 3.418
_cell_length_b 3.418
_cell_length_c 9.980
_cell_angle_alpha 90.00
_cell_angle_beta 90.00
_cell_angle_gamma 90.00
_space_group_name_H-M_alt 'P 4/m m m'
_space_group_IT_number 123
_space_group_name_Hall '-P 4 2'
loop_
_atom_site_label
_atom_site_type_symbol
_atom_site_fract_x
_atom_site_fract_y
_atom_site_fract_z
Y1 Y 0.000 0.000 0.000
As1 As 0.000 0.000 0.500
Br1 Br 0.500 0.500 0.173


Record 2
# Ca2SbPd7 PBE relaxed
# crystal system = cubic
# volume = 240.90 Å³/f.u.
# E_form (uncorrected) = -0.0168 eV per atom
data_Ca2SbPd7
_chemical_formula_sum 'Ca8 Sb4 Pd28'
_cell_length_a 9.877
_cell_length_b 9.877
_cell_length_c 9.877
_cell_angle_alpha 90.00
_cell_angle_beta 90.00
_cell_angle_gamma 90.00
_space_group_name_H-M_alt 'F m -3 m'
_space_group_IT_number 225
_space_group_name_Hall '-F 4 2 3'
loop_
_atom_site_label
_atom_site_type_symbol
_atom_site_fract_x
_atom_site_fract_y
_atom_site_fract_z
Ca1 Ca 0.250 0.250 0.250
Sb1 Sb 0.000 0.000 0.000
Pd1 Pd 0.000 0.000 0.247
Pd2 Pd 0.000 0.000 0.500


Record 3
# PuBi5 PBE relaxed
# crystal system = orthorhombic
# volume = 185.82 Å³/f.u.
# formation enthalpy at 0 K = -0.143 eV/atom
data_PuBi5
_chemical_formula_sum 'Pu2 Bi10'
_cell_length_a 4.695
_cell_length_b 16.624
_cell_length_c 4.761
_cell_angle_alpha 90.00
_cell_angle_beta 90.00
_cell_angle_gamma 90.00
_space_group_name_H-M_alt 'C m m m'
_space_group_IT_number 65
_space_group_name_Hall '-C 2 2'
loop_
_atom_site_label
_atom_site_type_symbol
_atom_site_fract_x
_atom_site_fract_y
_atom_site_fract_z
Pu1 Pu 0.000 0.000 0.000
Bi1 Bi 0.000 0.161 0.500
Bi2 Bi 0.000 0.346 0.000
Bi3 Bi 0.000 0.500 0.500


Record 4
# CsTaMo2 PBE relaxed
# crystal system = tetragonal
# volume = 116.37 Å³/f.u.
# formation enthalpy at 0 K = 2.000 eV/atom
data_CsTaMo2
_chemical_formula_sum 'Cs4 Ta4 Mo8'
_cell_length_a 5.123
_cell_length_b 5.123
_cell_length_c 17.738
_cell_angle_alpha 90.00
_cell_angle_beta 90.00
_cell_angle_gamma 90.00
_space_group_name_H-M_alt 'I -4 2 d'
_space_group_IT_number 122
_space_group_name_Hall 'I -4 2bw'
loop_
_atom_site_label
_atom_site_type_symbol
_atom_site_fract_x
_atom_site_fract_y
_atom_site_fract_z
Cs1 Cs 0.000 0.000 0.000
Ta1 Ta 0.000 0.000 0.500
Mo1 Mo 0.059 0.750 0.625


Record 5
# BeSi3Cl PBE relaxed
# crystal system = cubic
# volume = 88.71 Å³/f.u.
# E_form (uncorrected) = 0.7696 eV per atom
data_BeSi3Cl
_chemical_formula_sum 'Be1 Si3 Cl1'
_cell_length_a 4.460
_cell_length_b 4.460
_cell_length_c 4.460
_cell_angle_alpha 90.00
_cell_angle_beta 90.00
_cell_angle_gamma 90.00
_space_group_name_H-M_alt 'P m -3 m'
_space_group_IT_number 221
_space_group_name_Hall '-P 4 2 3'
loop_
_atom_site_label
_atom_site_type_symbol
_atom_site_fract_x
_atom_site_fract_y
_atom_site_fract_z
Be1 Be 0.000 0.000 0.000
Si1 Si 0.000 0.000 0.500
Cl1 Cl 0.500 0.500 0.500


Record 6
# TiVIn3 PBE relaxed
# crystal system = cubic
# volume = 131.34 Å³/f.u.
# formation enthalpy at 0 K = 0.781 eV/atom
data_TiVIn3
_chemical_formula_sum 'Ti1 V1 In3'
_cell_length_a 5.083
_cell_length_b 5.083
_cell_length_c 5.083
_cell_angle_alpha 90.00
_cell_angle_beta 90.00
_cell_angle_gamma 90.00
_space_group_name_H-M_alt 'P m -3 m'
_space_group_IT_number 221
_space_group_name_Hall '-P 4 2 3'
loop_
_atom_site_label
_atom_site_type_symbol
_atom_site_fract_x
_atom_site_fract_y
_atom_site_fract_z
Ti1 Ti 0.000 0.000 0.000
V1 V 0.500 0.500 0.500
In1 In 0.000 0.500 0.500


Record 7
# Tb6InHg8 PBE relaxed
# crystal system = trigonal
# volume = 416.92 Å³/f.u.
# formation enthalpy at 0 K = -0.334 eV/atom
data_Tb6InHg8
_chemical_formula_sum 'Tb18 In3 Hg24'
_cell_length_a 8.8606
_cell_length_b 8.8606
_cell_length_c 18.3956
_cell_angle_alpha 90.00
_cell_angle_beta 90.00
_cell_angle_gamma 120.00
_space_group_name_H-M_alt 'R -3'
_space_group_IT_number 148
_space_group_name_Hall '-R 3'
loop_
_atom_site_label
_atom_site_type_symbol
_atom_site_fract_x
_atom_site_fract_y
_atom_site_fract_z
Tb1 Tb 0.0053 0.2794 0.0991
In1 In 0.0000 0.0000 0.5000
Hg1 Hg 0.0000 0.0000 0.2045
Hg2 Hg 0.0060 0.6224 0.0603


Record 8
# Ce2PrTmSb4 PBE relaxed
# crystal system = monoclinic
# volume = 253.36 Å³/f.u.
# E_form (uncorrected) = -1.0795 eV per atom
data_Ce2PrTmSb4
_chemical_formula_sum 'Ce2 Pr1 Tm1 Sb4'
_cell_length_a 7.748
_cell_length_b 4.473
_cell_length_c 7.754
_cell_angle_alpha 90.00
_cell_angle_beta 109.47
_cell_angle_gamma 90.00
_space_group_name_H-M_alt 'P 1 2/m 1'
_space_group_IT_number 10
_space_group_name_Hall '-P 2y'
loop_
_atom_site_label
_atom_site_type_symbol
_atom_site_fract_x
_atom_site_fract_y
_atom_site_fract_z
Ce1 Ce 0.000 0.000 0.000
Ce2 Ce 0.500 0.500 0.000
Pr1 Pr 0.000 0.500 0.500
Tm1 Tm 0.500 0.000 0.500
Sb1 Sb 0.257 0.000 0.750
Sb2 Sb 0.259 0.500 0.255


The highest volume belongs to which entry? Tb6InHg8